A geometry-optimized Al2CuMoF structure, computed with GGA+U.

The space group is No. 123. As for the crystal system: tetragonal. The total magnetic moment comes out at 3.794 μB per formula unit. Its uncorrected energy is -3.27 eV per atom. The theoretical density is 2.99 g cm⁻³.

a = 5.143 Å, b = 5.143 Å, c = 4.874 Å
α = 90.00°, β = 90.00°, γ = 90.00°
Fractional coordinates of all 5 atoms:
Al1 0.000 0.500 0.000
Al2 0.500 0.000 0.000
Cu1 0.000 0.000 0.500
Mo1 0.000 0.000 0.000
F1 0.500 0.500 0.500